# 1
Crystalline ZrPdBr at its relaxed geometry, computed with GGA-PBE.

## Properties
Mass density   6.95 g/cm³
ΔE_f (raw)   -142 kJ/mol of formula units
Symmetry   Amm2 (38)

a = 3.468 Å, b = 3.468 Å, c = 12.737 Å
α = 90.00°, β = 90.00°, γ = 120.00°
Sites, in units of the cell vectors:
Zr (0.666, 0.333, 0.649)
Br (0.333, 0.666, 0.197)
Pd (0.333, 0.666, 0.500)
Br (0.333, 0.666, 0.803)
Pd (0.335, 0.670, 0.000)
Zr (0.666, 0.333, 0.351)

# 2
Crystalline Hf4C2N at its relaxed geometry, computed with GGA-PBE.

## Properties
Mass density   12.75 g/cm³
ΔE_f (raw)   -700 kJ/mol of formula units
Symmetry   C2/m (12)
Energy above the lowest structure with this stoichiometry   0.0000 eV per atom

a = 3.256 Å, b = 5.601 Å, c = 6.262 Å
α = 116.32°, β = 105.07°, γ = 90.00°
Sites, in units of the cell vectors:
Hf (0.629, 0.288, 0.258)
C (0.259, 0.258, 0.519)
N (0.000, 0.000, 0.000)
Hf (0.371, 0.712, 0.742)
Hf (0.130, 0.807, 0.260)
C (0.741, 0.742, 0.481)
Hf (0.870, 0.193, 0.740)

Number 1: D(E_F) 3.6 states/eV/cell, magnetic moment 0.000 μB per atom. Number 2: D(E_F) 2.3 states/eV/cell, magnetic moment 0.000 μB per atom.